Material: ZrOsAu2
Method: DFT, SCAN
State: single point on PBEsol structure

Geometry as POSCAR:
```
ZrOsAu2
1.0
1.419 0.819 9.593
-1.419 0.819 9.593
0.000 -1.638 9.593
Zr Os Au
1 1 2
Cartesian
0.000 0.000 0.000
0.000 0.000 14.389
0.000 0.000 7.095
0.000 0.000 21.684
```

Values from the calculation:
The formation energy comes out at 95 kJ/mol of formula units. Its theoretical density is 16.77 g cm⁻³. Its total energy is -59.976 eV per atom. As for the space-group type: R-3m (166).

---

Material: ZrOs2Au
Method: DFT, SCAN
State: single point on PBEsol structure

Geometry as POSCAR:
```
ZrOs2Au
1.0
3.998 0.000 0.000
0.000 3.998 0.000
0.000 0.000 3.950
Zr Os Au
1 2 1
Cartesian
0.000 0.000 0.000
0.000 1.999 1.975
1.999 0.000 1.975
1.999 1.999 0.000
```

Values from the calculation:
The formation energy comes out at -92 kJ/mol of formula units. Its theoretical density is 17.59 g cm⁻³. Its total energy is -61.141 eV per atom. As for the space-group type: P4/mmm (123).

---

Material: PAu
Method: DFT, SCAN
State: single point on PBEsol structure

Geometry as POSCAR:
```
PAu
1.0
-1.971 1.971 4.178
1.971 -1.971 4.178
1.971 1.971 -4.178
P Au
2 2
Cartesian
1.971 0.986 1.045
0.000 0.986 3.134
1.971 -0.986 3.134
0.000 2.957 1.045
```

Values from the calculation:
The formation energy comes out at 123 kJ/mol of formula units. Its theoretical density is 11.66 g cm⁻³. Its total energy is -39.139 eV per atom. As for the space-group type: I4_1/amd (141). For the distance to the lowest polymorph of the same formula, the calculation gives 78.34 kJ/mol of atoms.

---

Material: P5Au
Method: DFT, SCAN
State: single point on PBEsol structure

Geometry as POSCAR:
```
P5Au
1.0
5.356 -1.725 0.000
5.356 1.725 0.000
-0.163 0.000 5.013
P Au
5 1
Cartesian
0.000 0.000 0.000
3.400 0.000 2.650
3.372 0.000 4.897
7.176 0.000 0.116
7.148 0.000 2.363
-0.082 0.000 2.506
```

Values from the calculation:
The formation energy comes out at 67 kJ/mol of formula units. Its theoretical density is 6.31 g cm⁻³. Its total energy is -20.076 eV per atom. As for the space-group type: C2/m (12).

---

Material: PAu
Method: DFT, SCAN
State: single point on PBEsol structure

Geometry as POSCAR:
```
PAu
1.0
3.932 0.000 0.000
-1.966 3.405 0.000
0.000 0.000 6.216
P Au
2 2
Cartesian
0.000 2.270 0.000
1.966 1.135 3.108
0.000 2.270 2.387
1.966 1.135 5.495
```

Values from the calculation:
The formation energy comes out at 39 kJ/mol of formula units. Its theoretical density is 9.10 g cm⁻³. Its total energy is -39.577 eV per atom. As for the space-group type: P6_3mc (186). For the distance to the lowest polymorph of the same formula, the calculation gives 36.06 kJ/mol of atoms.

---

Material: PAu
Method: DFT, SCAN
State: single point on PBEsol structure

Geometry as POSCAR:
```
PAu
1.0
0.000 2.562 2.562
2.562 0.000 2.562
2.562 2.562 0.000
P Au
1 1
Cartesian
0.000 0.000 0.000
2.562 2.562 2.562
```

Values from the calculation:
The formation energy comes out at 36 kJ/mol of formula units. Its theoretical density is 11.25 g cm⁻³. Its total energy is -39.593 eV per atom. As for the space-group type: Fm-3m (225). For the distance to the lowest polymorph of the same formula, the calculation gives 34.50 kJ/mol of atoms.

---

Material: PAu
Method: DFT, SCAN
State: single point on PBEsol structure

Geometry as POSCAR:
```
PAu
1.0
-1.622 4.502 2.716
1.622 -4.502 2.716
1.622 4.502 -2.716
P Au
2 2
Cartesian
0.000 2.251 0.619
1.622 2.251 2.096
0.000 0.000 0.000
0.000 4.502 0.000
```

Values from the calculation:
The formation energy comes out at -33 kJ/mol of formula units. Its theoretical density is 9.55 g cm⁻³. Its total energy is -39.951 eV per atom. As for the space-group type: Imma (74). For the distance to the lowest polymorph of the same formula, the calculation gives 0.00 kJ/mol of atoms.

---

Material: PAu
Method: DFT, SCAN
State: single point on PBEsol structure

Geometry as POSCAR:
```
PAu
1.0
-1.572 1.842 5.812
1.572 -1.842 5.812
1.572 1.842 -5.812
P Au
2 2
Cartesian
0.000 0.921 2.065
1.572 0.921 3.746
1.572 0.921 -1.046
0.000 0.921 6.858
```

Values from the calculation:
The formation energy comes out at 62 kJ/mol of formula units. Its theoretical density is 11.24 g cm⁻³. Its total energy is -39.458 eV per atom. As for the space-group type: Imma (74). For the distance to the lowest polymorph of the same formula, the calculation gives 47.53 kJ/mol of atoms.

---

Material: PAu
Method: DFT, SCAN
State: single point on PBEsol structure

Geometry as POSCAR:
```
PAu
1.0
2.717 0.000 0.000
0.000 2.717 0.000
0.000 0.000 8.988
P Au
2 2
Cartesian
0.679 0.679 1.300
2.038 2.038 7.688
0.679 0.679 5.657
2.038 2.038 3.331
```

Values from the calculation:
The formation energy comes out at 107 kJ/mol of formula units. Its theoretical density is 11.41 g cm⁻³. Its total energy is -39.225 eV per atom. As for the space-group type: P4/nmm (129). For the distance to the lowest polymorph of the same formula, the calculation gives 70.00 kJ/mol of atoms.

---

Material: PAu
Method: DFT, SCAN
State: single point on PBEsol structure

Geometry as POSCAR:
```
PAu
1.0
0.000 2.744 2.744
2.744 0.000 2.744
2.744 2.744 0.000
P Au
1 1
Cartesian
0.000 0.000 0.000
4.116 4.116 4.116
```

Values from the calculation:
The formation energy comes out at 32 kJ/mol of formula units. Its theoretical density is 9.16 g cm⁻³. Its total energy is -39.610 eV per atom. As for the space-group type: F-43m (216). For the distance to the lowest polymorph of the same formula, the calculation gives 32.93 kJ/mol of atoms.

---

Material: P2PbAu2
Method: DFT, SCAN
State: single point on PBEsol structure

Geometry as POSCAR:
```
P2PbAu2
1.0
1.611 -5.687 0.000
1.611 5.687 0.000
0.000 0.000 11.183
P Pb Au
4 2 4
Cartesian
1.611 3.404 6.083
1.611 3.404 10.692
1.611 -3.404 0.491
1.611 -3.404 5.101
1.611 0.269 8.387
1.611 -0.269 2.796
0.000 0.000 0.000
0.000 0.000 5.592
1.611 3.150 8.387
1.611 -3.150 2.796
```

Values from the calculation:
The formation energy comes out at -105 kJ/mol of formula units. Its theoretical density is 10.74 g cm⁻³. Its total energy is -47.196 eV per atom. As for the space-group type: Cmcm (63).

---

Material: PPbAu
Method: DFT, SCAN
State: single point on PBEsol structure

Geometry as POSCAR:
```
PPbAu
1.0
4.192 0.000 0.000
-2.096 3.631 0.000
0.000 0.000 4.313
P Pb Au
1 1 1
Cartesian
0.000 0.000 0.000
2.096 1.210 2.156
0.000 2.420 4.294
```

Values from the calculation:
The formation energy comes out at -13 kJ/mol of formula units. Its theoretical density is 11.01 g cm⁻³. Its total energy is -51.825 eV per atom. As for the space-group type: P3m1 (156). For the distance to the lowest polymorph of the same formula, the calculation gives 0.00 kJ/mol of atoms.

---

Material: P2PbAu
Method: DFT, SCAN
State: single point on PBEsol structure

Geometry as POSCAR:
```
P2PbAu
1.0
3.654 0.000 0.000
0.000 4.270 0.000
0.000 0.000 4.927
P Pb Au
2 1 1
Cartesian
0.000 0.000 0.000
1.827 0.000 2.463
0.000 2.135 2.463
1.827 2.135 0.000
```

Values from the calculation:
The formation energy comes out at 256 kJ/mol of formula units. Its theoretical density is 10.07 g cm⁻³. Its total energy is -40.772 eV per atom. As for the space-group type: Pmmm (47).

---

Material: P2PbAu
Method: DFT, SCAN
State: single point on PBEsol structure

Geometry as POSCAR:
```
P2PbAu
1.0
3.823 0.000 0.000
0.000 3.823 0.000
0.000 0.000 5.377
P Pb Au
2 1 1
Cartesian
0.000 0.000 0.000
1.911 1.911 2.689
0.000 0.000 2.689
1.911 1.911 0.000
```

Values from the calculation:
The formation energy comes out at 122 kJ/mol of formula units. Its theoretical density is 9.85 g cm⁻³. Its total energy is -41.118 eV per atom. As for the space-group type: P4/mmm (123).

---

Material: PPbAu
Method: DFT, SCAN
State: single point on PBEsol structure

Geometry as POSCAR:
```
PPbAu
1.0
4.190 0.000 0.000
-2.095 3.628 0.000
0.000 0.000 8.643
P Pb Au
2 2 2
Cartesian
0.000 2.419 2.161
2.095 1.209 6.482
0.000 0.000 0.000
0.000 0.000 4.322
0.000 2.419 6.482
2.095 1.209 2.161
```

Values from the calculation:
The formation energy comes out at -11 kJ/mol of formula units. Its theoretical density is 11.00 g cm⁻³. Its total energy is -51.816 eV per atom. As for the space-group type: P6_3/mmc (194). For the distance to the lowest polymorph of the same formula, the calculation gives 0.83 kJ/mol of atoms.